(1)
The following is a GGA-PBE calculation of a relaxed structure of Sm2I, from OQMD via LeMat-Bulk.

Summary:
- space group = Fd-3m
- energy (eV/atom) = -3.54

Cell: 6.664 6.664 6.664 Å, 60.00 60.00 60.00°
Sites, in units of the cell vectors:
I  0.000  0.000  0.000
I  0.250  0.250  0.250
Sm  0.625  0.625  0.125
Sm  0.625  0.125  0.625
Sm  0.625  0.625  0.625
Sm  0.125  0.625  0.625


(2)
The following is a GGA-PBE calculation of a relaxed structure of ErPbAuSe3, from OQMD via LeMat-Bulk.

Summary:
- space group = P2_1/m
- energy (eV/atom) = -4.60

Cell: 7.886 4.100 10.103 Å, 90.00 107.22 90.00°
Sites, in units of the cell vectors:
Pb  0.762  0.250  0.794
Pb  0.238  0.750  0.206
Se  0.557  0.250  0.331
Se  0.810  0.750  0.042
Se  0.190  0.250  0.958
Se  0.922  0.750  0.628
Se  0.078  0.250  0.372
Se  0.443  0.750  0.669
Au  0.381  0.750  0.908
Au  0.619  0.250  0.092
Er  0.810  0.750  0.332
Er  0.190  0.250  0.668


(3)
The following is a GGA-PBE calculation of a relaxed structure of BaTmSb, from OQMD via LeMat-Bulk.

Summary:
- space group = F-43m
- energy (eV/atom) = -3.57

Cell: 5.316 5.316 5.316 Å, 60.00 60.00 60.00°
Sites, in units of the cell vectors:
Sb  0.750  0.750  0.750
Ba  0.250  0.250  0.250
Tm  0.000  0.000  0.000